Record 1
Compound: PRhN2O
Source: Alexandria via LeMat-Bulk
Functional: meta-GGA SCAN
Structure: PBEsol geometry

Unit cell a=3.7682 b=3.7682 c=3.8914 alpha=90.00 beta=90.00 gamma=90.00
Element x y z (fractional)
P  0.5000  0.5000  0.5000
Rh  0.0000  0.0000  0.0000
O  0.0000  0.0000  0.5000
N  0.0000  0.5000  0.0000
N  0.5000  0.0000  0.0000

Calculated values
Magnetization = 0.001 μB per cell
Total DFT energy (no corrections) = -62.63 eV/cell



Record 2
Compound: PRhNO2
Source: Alexandria via LeMat-Bulk
Functional: meta-GGA SCAN
Structure: PBEsol geometry

Unit cell a=3.7589 b=3.8306 c=3.8306 alpha=90.00 beta=90.00 gamma=90.00
Element x y z (fractional)
P  0.5000  0.5000  0.5000
Rh  0.0000  0.0000  0.0000
O  0.0000  0.0000  0.5000
O  0.0000  0.5000  0.0000
N  0.5000  0.0000  0.0000

Calculated values
Magnetization = 0.000 μB per cell
Total DFT energy (no corrections) = -62.68 eV/cell



Record 3
Compound: ScPNO2
Source: Alexandria via LeMat-Bulk
Functional: meta-GGA SCAN
Structure: PBEsol geometry

Unit cell a=3.5533 b=3.5533 c=3.5992 alpha=90.00 beta=90.00 gamma=90.00
Element x y z (fractional)
Sc  0.5000  0.5000  0.5000
P  0.0000  0.0000  0.0000
O  0.0000  0.5000  0.0000
O  0.5000  0.0000  0.0000
N  0.0000  0.0000  0.5000

Calculated values
Magnetization = 0.000 μB per cell
Total DFT energy (no corrections) = -53.59 eV/cell